K3Ce3PrTe8 PBE-GGA optimized geometry; symmetry = R-3m; spin magnetization = 2.01 μB/cell; calculated total energy = -0.3485 Ry/atom; N(E_F) = 0.9025 states/eV/atom
1.0
9.1897 0.0000 0.0000
-4.5949 7.9587 -0.0308
0.0000 -5.2768 8.3100
K Te Ce Pr
3 8 3 1
direct
0.5000 0.5000 0.0000
0.0000 0.0000 0.0000
0.0000 0.5000 0.0000
0.2402 0.9711 0.7111
0.2403 0.4805 0.7112
0.7598 0.0289 0.2889
0.2624 0.5249 0.2875
0.7308 0.9710 0.7111
0.7597 0.5195 0.2888
0.2692 0.0290 0.2889
0.7376 0.4751 0.7125
0.5000 0.5000 0.5000
0.5000 0.0000 0.5000
0.0000 0.5000 0.5000
0.0000 0.0000 0.5000